Record 1
## Ta3Zn (GGA-PBE)

Data for a geometry-optimized Ta3Zn structure.

Unit cell a=4.351 b=4.351 c=3.646 alpha=90.00 beta=90.00 gamma=90.00
Element x y z (fractional)
1 Ta 0.000 0.000 0.000
2 Ta 0.000 0.500 0.500
3 Ta 0.500 0.000 0.500
4 Zn 0.500 0.500 0.000

## Properties
The space-group type is P4/mmm (123).

=====

Record 2
## TaZn (GGA-PBE)

Data for a geometry-optimized TaZn structure.

Unit cell a=4.305 b=4.305 c=8.638 alpha=90.00 beta=90.00 gamma=120.00
Element x y z (fractional)
1 Ta 0.333 0.667 0.081
2 Ta 0.333 0.667 0.419
3 Ta 0.667 0.333 0.581
4 Ta 0.667 0.333 0.919
5 Zn 0.000 0.000 0.250
6 Zn 0.000 0.000 0.750
7 Zn 0.333 0.667 0.750
8 Zn 0.667 0.333 0.250

## Properties
The space-group type is P6_3/mmc (194).

=====

Record 3
## Ta3Zn (GGA-PBE)

Data for a geometry-optimized Ta3Zn structure.

Unit cell a=5.381 b=9.351 c=5.559 alpha=90.00 beta=90.00 gamma=90.00
Element x y z (fractional)
1 Ta 0.007 0.250 0.137
2 Ta 0.234 0.515 0.374
3 Ta 0.234 0.985 0.374
4 Ta 0.266 0.015 0.874
5 Ta 0.266 0.485 0.874
6 Ta 0.493 0.750 0.637
7 Ta 0.507 0.250 0.363
8 Ta 0.734 0.515 0.126
9 Ta 0.734 0.985 0.126
10 Ta 0.766 0.015 0.626
11 Ta 0.766 0.485 0.626
12 Ta 0.993 0.750 0.863
13 Zn 0.066 0.250 0.626
14 Zn 0.434 0.750 0.126
15 Zn 0.566 0.250 0.874
16 Zn 0.934 0.750 0.374

## Properties
The space-group type is Pnma (62).

=====

Record 4
## Ta5Zn (GGA-PBE)

Data for a geometry-optimized Ta5Zn structure.

Unit cell a=5.592 b=5.592 c=4.557 alpha=90.00 beta=90.00 gamma=120.00
Element x y z (fractional)
1 Ta 0.000 0.500 0.000
2 Ta 0.333 0.667 0.500
3 Ta 0.500 0.000 0.000
4 Ta 0.500 0.500 0.000
5 Ta 0.667 0.333 0.500
6 Zn 0.000 0.000 0.500

## Properties
The space-group type is P6/mmm (191).

=====

Respective density of states at the Fermi level values: 1.003; 0.765; 0.868; 1.222 states/eV/atom.
Respective formation energy from the elements values: 0.0511; 0.4428; 0.0894; 0.7181 eV/atom.
Respective calculated total energy values: -36.63; -48.96; -145.90; -56.23 eV per cell.